Entry from Alexandria: a geometry-optimized CuSnMoF2 structure (PBE+U).

Cell lengths 4.1034, 4.1034, 6.0470 Å; angles 90.00, 90.00, 90.00 degrees
Closest atoms and distances in Å follow each position.
Sites, in units of the cell vectors:
1 Cu 0.0000 0.0000 0.0000  4 Sn 2.90
2 Sn 0.5000 0.5000 0.0000  4 Cu 2.90, 2 Mo 3.02
3 Mo 0.5000 0.5000 0.5000  4 F 2.05
4 F 0.0000 0.5000 0.5000  2 Mo 2.05
5 F 0.5000 0.0000 0.5000  2 Mo 2.05

Computed properties:
density = 5157 kg/m³
volume = 20.4 A^3/atom
total magnetization = 3.06 Bohr magnetons per cell
total energy = -4.702 eV per atom
space group = P4/mmm, No. 123